[1]
First-principles (PBE) data for a relaxed structure of Rb2NaGaCl6, as listed in Alexandria.

N(E_F)	0.00	states/eV/atom
magnetic moment	0.000	μB per atom
energy	-32.6	eV/cell

Unit cell a=7.028 b=7.028 c=7.028 alpha=114.74 beta=114.74 gamma=99.38
Sites, in units of the cell vectors:
Rb 0.250 0.750 0.500
Rb 0.750 0.250 0.500
Na 0.000 0.000 0.000
Ga 0.500 0.500 0.000
Cl 0.259 0.259 0.000
Cl 0.269 0.269 0.539
Cl 0.269 0.731 0.000
Cl 0.731 0.269 0.000
Cl 0.731 0.731 0.461
Cl 0.741 0.741 0.000

[2]
First-principles (PBE) data for a relaxed structure of Rb2NaGaCl6, as listed in Alexandria.

N(E_F)	0.00	states/eV/atom
magnetic moment	0.000	μB per atom
energy	-33.4	eV/cell

Unit cell a=7.232 b=7.232 c=6.767 alpha=90.00 beta=90.00 gamma=120.00
Sites, in units of the cell vectors:
Rb 0.333 0.667 0.178
Rb 0.667 0.333 0.822
Na 0.000 0.000 0.500
Ga 0.000 0.000 0.000
Cl 0.156 0.313 0.792
Cl 0.156 0.844 0.792
Cl 0.313 0.156 0.208
Cl 0.687 0.844 0.792
Cl 0.844 0.156 0.208
Cl 0.844 0.687 0.208

[3]
First-principles (PBE) data for a relaxed structure of Rb2NaGaCl6, as listed in Alexandria.

N(E_F)	0.00	states/eV/atom
magnetic moment	0.000	μB per atom
energy	-33.3	eV/cell

Unit cell a=7.319 b=7.319 c=7.319 alpha=60.00 beta=60.00 gamma=60.00
Sites, in units of the cell vectors:
Rb 0.250 0.250 0.250
Rb 0.750 0.750 0.750
Na 0.000 0.000 0.000
Ga 0.500 0.500 0.500
Cl 0.268 0.268 0.732
Cl 0.268 0.732 0.268
Cl 0.268 0.732 0.732
Cl 0.732 0.268 0.268
Cl 0.732 0.268 0.732
Cl 0.732 0.732 0.268

[4]
First-principles (PBE) data for a relaxed structure of RbNaGa2Cl4, as listed in Alexandria.

N(E_F)	0.00	states/eV/atom
magnetic moment	0.000	μB per atom
energy	-25.6	eV/cell

Unit cell a=7.545 b=4.381 c=7.609 alpha=90.00 beta=109.63 gamma=90.00
Sites, in units of the cell vectors:
Rb 0.000 0.000 0.000
Na 0.000 0.500 0.500
Ga 0.500 0.000 0.500
Ga 0.500 0.500 0.000
Cl 0.248 0.000 0.735
Cl 0.255 0.500 0.275
Cl 0.745 0.500 0.725
Cl 0.752 0.000 0.265

[5]
First-principles (PBE) data for a relaxed structure of NaGaS2Cl, as listed in Alexandria.

N(E_F)	0.71	states/eV/atom
magnetic moment	0.094	μB per atom
energy	-16.9	eV/cell

Unit cell a=4.670 b=4.670 c=5.326 alpha=90.00 beta=90.00 gamma=90.00
Sites, in units of the cell vectors:
Na 0.000 0.000 0.000
Ga 0.500 0.500 0.500
S 0.000 0.500 0.500
S 0.500 0.000 0.500
Cl 0.500 0.500 0.000

[6]
First-principles (PBE) data for a relaxed structure of NaGaSCl2, as listed in Alexandria.

N(E_F)	0.55	states/eV/atom
magnetic moment	0.000	μB per atom
energy	-16.4	eV/cell

Unit cell a=5.069 b=5.069 c=4.604 alpha=90.00 beta=90.00 gamma=90.00
Sites, in units of the cell vectors:
Na 0.000 0.000 0.000
Ga 0.500 0.500 0.500
S 0.500 0.500 0.000
Cl 0.000 0.500 0.500
Cl 0.500 0.000 0.500

Question: What is the magnetic moment in the fourth record?
Answer: 0.000 μB per atom

Question: Which formula does entry 2 have?
Answer: Rb2NaGaCl6